Compound: Y2Cd2O
Source: the Alexandria database
Functional: PBE
Structure: optimized geometry

- energy relative to the elements, uncorrected (eV/atom) = -1.06
- calculated total energy (eV/cell) = -50.1

Cell and atoms, written as extended XYZ:
```
10
Lattice="-3.993 4.513 2.274 -4.915 -2.793 -3.086 -1.034 -3.209 4.552" Properties=species:S:1:pos:R:3 pbc="T T T"
Cd -5.606 1.249 3.131
Cd -7.287 -1.025 1.146
Cd -4.336 -2.738 0.609
Cd -2.654 -0.465 2.594
O 0.000 0.000 0.000
O -4.454 0.860 -0.406
Y -6.619 1.777 -0.251
Y -2.288 -0.057 -0.560
Y -5.278 -0.852 -1.800
Y -3.629 2.572 0.988
```